! CoCuS4 PBE optimized geometry; values from VASP
! Calculated volume ... 185 Å³ per cell
! Total DFT energy (no corrections) ... -28.294 eV/f.u.
! Spin magnetization ... 0.0 μB/cell
! Energy above the most stable polymorph in this dataset ... 128 meV/atom
! Symmetry ... No. 15
! Uncorrected formation energy ... -97 meV/atom
&SYSTEM
  ibrav = 0, nat = 12, ntyp = 3
/
ATOMIC_SPECIES
Cu 63.55 Cu.upf
S 32.06 S.upf
Co 58.93 Co.upf
CELL_PARAMETERS angstrom
-1.872 4.158 3.649
-4.584 0.562 -2.993
0.681 -6.366 2.931
ATOMIC_POSITIONS angstrom
Cu -1.498 0.921 -0.063
Cu -4.277 -2.567 3.650
S -2.008 -2.755 3.885
S -3.876 -0.647 2.176
S -3.691 -1.826 -1.060
S -1.899 -0.998 1.410
S -2.083 0.180 4.646
S -2.186 2.408 2.585
S -3.589 -4.054 1.001
S -3.766 1.109 -0.299
Co -1.951 -2.902 -0.031
Co -0.595 -1.104 3.290